Entry w
First-principles (SCAN) data for a PBEsol-optimized structure of SrFeSe2, as listed in the Alexandria database.

Properties
Density (g cm⁻³): 5.54

a = 3.5545 Å, b = 3.7689 Å, c = 13.4766 Å
α = 90.00°, β = 90.00°, γ = 90.00°
Last column: nearest neighbours and their distance in Å.
Space group Imm2 (No. 44)
Asymmetric unit:
1 Sr 0.0000 0.0000 0.0000 [2 per cell]  6 Se 3.00-3.07
2 Fe 0.0000 0.5000 0.2464 [2 per cell]  6 Se 2.54-2.77
3 Se 0.0000 0.0000 0.6120 [2 per cell]  2 Fe 2.54
4 Se 0.0000 0.5000 0.8202 [2 per cell]  4 Fe 2.77, 2 Sr 3.07



Entry x
First-principles (SCAN) data for a PBEsol-optimized structure of SrFeSe2, as listed in the Alexandria database.

Properties
Density (g cm⁻³): 5.89

a = 4.9071 Å, b = 4.9071 Å, c = 3.5294 Å
α = 90.00°, β = 90.00°, γ = 90.00°
Last column: nearest neighbours and their distance in Å.
Space group P4/mmm (No. 123)
Asymmetric unit:
1 Sr 0.0000 0.0000 0.0000 [1 per cell]  8 Se 3.02
2 Fe 0.5000 0.5000 0.0000 [1 per cell]  8 Se 3.02
3 Se 0.0000 0.5000 0.5000 [2 per cell]  4 Fe 3.02, 4 Sr 3.02



Most stable to least stable, the ends of the list are entry w and entry x.